The following is a DFT calculation (PBE) of a relaxed structure of Be3ZnCo.

Cell and atoms, written as extended XYZ:
```
5
Lattice="4.0005 0.0000 0.0000 0.0000 4.0005 0.0000 0.0000 0.0000 4.0005" Properties=species:S:1:pos:R:3 pbc="T T T"
Be 0.0000 0.0000 2.0003
Be 0.0000 2.0003 0.0000
Be 2.0003 0.0000 0.0000
Zn 0.0000 0.0000 0.0000
Co 2.0003 2.0003 2.0003
```

calculated volume	12.80	Å³/atom
energy of formation from the pure elements	1.0234	eV/atom
density of states at the Fermi level	4.4	states/eV per cell
total DFT energy (no corrections)	-0.2123	Ry per atom
relative energy among the computed polymorphs	237	kJ/mol of formula units


The following is a DFT calculation (PBE) of a relaxed structure of Li3AsPt.

Cell and atoms, written as extended XYZ:
```
5
Lattice="4.2710 2.4659 1.5699 -4.2710 2.4659 1.5699 0.0000 -4.9317 1.5699" Properties=species:S:1:pos:R:3 pbc="T T T"
Li -2.1355 -1.2329 1.5699
Li -2.1355 1.2329 3.1397
Li 0.0000 2.4659 1.5699
As 0.0000 0.0000 0.0000
Pt 0.0000 0.0000 2.3548
```

calculated volume	19.85	Å³/atom
energy of formation from the pure elements	-0.4405	eV/atom
density of states at the Fermi level	1.4	states/eV per cell
total DFT energy (no corrections)	-0.2739	Ry per atom
relative energy among the computed polymorphs	0	kJ/mol of formula units


The following is a DFT calculation (PBE) of a relaxed structure of Pr8Pd2Ru.

Cell and atoms, written as extended XYZ:
```
11
Lattice="8.9744 -2.5937 0.0000 8.9744 2.5937 0.0000 -1.1340 0.0000 6.9611" Properties=species:S:1:pos:R:3 pbc="T T T"
Pr 0.2259 0.0000 1.9696
Pr 2.6986 0.0000 5.8001
Pr 5.4897 0.0000 3.6818
Pr 7.3344 0.0000 0.4115
Pr 9.4803 0.0000 6.5496
Pr 11.3250 0.0000 3.2793
Pr 14.1161 0.0000 1.1610
Pr 16.5888 0.0000 4.9915
Pd 3.2938 0.0000 1.6832
Pd 13.5209 0.0000 5.2779
Ru 8.4073 0.0000 3.4805
```

calculated volume	29.46	Å³/atom
energy of formation from the pure elements	-0.2862	eV/atom
density of states at the Fermi level	12.0	states/eV per cell
total DFT energy (no corrections)	-0.4079	Ry per atom


The following is a DFT calculation (PBE) of a relaxed structure of La3NbSe.

Cell and atoms, written as extended XYZ:
```
5
Lattice="5.5244 0.0000 0.0000 0.0000 5.5244 0.0000 0.0000 0.0000 5.5244" Properties=species:S:1:pos:R:3 pbc="T T T"
La 0.0000 0.0000 2.7622
La 0.0000 2.7622 0.0000
La 2.7622 0.0000 0.0000
Nb 0.0000 0.0000 0.0000
Se 2.7622 2.7622 2.7622
```

calculated volume	33.72	Å³/atom
formation energy from raw total energies	-0.0069	eV per atom
density of states at the Fermi level	4.8	states/eV per cell
total DFT energy (no corrections)	-0.4170	Ry per atom
relative energy among the computed polymorphs	0	kJ/mol of formula units


The following is a DFT calculation (PBE) of a relaxed structure of RbSbI5.

Cell and atoms, written as extended XYZ:
```
14
Lattice="7.7948 -5.0997 0.0000 7.7948 5.0997 0.0000 -6.6504 0.0000 9.6838" Properties=species:S:1:pos:R:3 pbc="T T T"
Rb 2.8070 4.6375 7.2628
Rb 6.1322 -4.6375 2.4209
Sb 7.7948 0.0000 0.0000
Sb 4.4696 0.0000 4.8419
I 0.1601 2.8406 9.5534
I 2.3673 0.8684 2.9670
I 5.4540 2.8406 4.9722
I -0.9579 -0.8684 7.8089
I 2.8070 0.8718 7.2628
I 6.1322 -0.8718 2.4209
I 9.8971 0.8684 1.8749
I 3.4853 -2.8406 4.7115
I 6.5719 -0.8684 6.7168
I 8.7792 -2.8406 0.1303
```

calculated volume	54.99	Å³/atom
formation energy from raw total energies	-0.5133	eV per atom
density of states at the Fermi level	7.8	states/eV per cell
total DFT energy (no corrections)	-0.1725	Ry per atom


The following is a DFT calculation (PBE) of a relaxed structure of Sb2Ru2Pb.

Cell and atoms, written as extended XYZ:
```
10
Lattice="7.9593 0.0000 0.0000 0.0000 7.9593 0.0000 0.0000 0.0000 3.1555" Properties=species:S:1:pos:R:3 pbc="T T T"
Sb 1.1714 2.8082 0.0000
Sb 2.8082 6.7879 0.0000
Sb 5.1511 1.1714 0.0000
Sb 6.7879 5.1511 0.0000
Ru 1.1084 5.0881 1.5777
Ru 2.8712 1.1084 1.5777
Ru 5.0881 6.8508 1.5777
Ru 6.8508 2.8712 1.5777
Pb 0.0000 0.0000 1.5777
Pb 3.9796 3.9796 1.5777
```

calculated volume	19.99	Å³/atom
formation energy from raw total energies	0.1328	eV per atom
density of states at the Fermi level	5.5	states/eV per cell
total DFT energy (no corrections)	-0.4386	Ry per atom
relative energy among the computed polymorphs	0	kJ/mol of formula units


The following is a DFT calculation (PBE) of a relaxed structure of PmYNp.

Cell and atoms, written as extended XYZ:
```
6
Lattice="8.4775 -1.7788 0.0000 8.4775 1.7788 0.0000 -1.2849 0.0000 5.8824" Properties=species:S:1:pos:R:3 pbc="T T T"
Pm 1.7442 0.0000 1.9152
Pm 13.9259 0.0000 3.9672
Y 7.0907 0.0000 1.2183
Y 8.5794 0.0000 4.6641
Np 2.9132 0.0000 5.0881
Np 12.7568 0.0000 0.7943
```

calculated volume	29.57	Å³/atom
energy of formation from the pure elements	0.2432	eV/atom
density of states at the Fermi level	12.1	states/eV per cell
total DFT energy (no corrections)	-0.5739	Ry per atom


The following is a DFT calculation (PBE) of a relaxed structure of Ca3Ce2ZrAs6.

Cell and atoms, written as extended XYZ:
```
12
Lattice="3.6047 -6.2455 0.0000 3.6047 6.2455 0.0000 -2.4112 0.0000 6.8241" Properties=species:S:1:pos:R:3 pbc="T T T"
Ca 0.0000 0.0000 0.0000
Ca 3.6047 2.1085 0.0000
Ca 3.6047 -2.1085 0.0000
Ce 2.3991 4.1685 3.4120
Ce 2.3991 -4.1685 3.4120
Zr 2.3991 0.0000 3.4120
As 1.2413 2.0104 1.8362
As 0.0819 0.0000 4.9914
As 1.2413 -2.0104 1.8362
As 3.5569 2.0104 4.9879
As 4.7163 0.0000 1.8327
As 3.5569 -2.0104 4.9879
```

calculated volume	25.61	Å³/atom
energy of formation from the pure elements	-1.2546	eV/atom
total DFT energy (no corrections)	-0.4249	Ry per atom


Question: Which formula does entry 6 have?
Answer: Sb2Ru2Pb